# Li2TiV3O8 (PBEsol, optimized geometry)
data_Li2TiV3O8
_chemical_formula_sum 'Li8 Ti4 V12 O32'
_cell_length_a 10.177
_cell_length_b 5.759
_cell_length_c 9.976
_cell_angle_alpha 90.00
_cell_angle_beta 109.02
_cell_angle_gamma 90.00
_symmetry_space_group_name_H-M 'C 1 2 1'
_symmetry_Int_Tables_number 5
_symmetry_space_group_name_Hall 'C 2y'
loop_
_atom_site_label
_atom_site_type_symbol
_atom_site_fract_x
_atom_site_fract_y
_atom_site_fract_z
Li1 Li 0.185 0.000 0.060
Li2 Li 0.193 0.500 0.565
Ti1 Ti 0.246 0.985 0.751
V1 V 0.000 0.004 0.500
V2 V 0.000 0.246 0.257
V3 V 0.000 0.503 0.000
V4 V 0.002 0.726 0.246
O1 O 0.105 0.988 0.367
O2 O 0.114 0.487 0.872
O3 O 0.114 0.990 0.856
O4 O 0.115 0.765 0.631
O5 O 0.116 0.270 0.132
O6 O 0.123 0.228 0.629
O7 O 0.123 0.724 0.129
O8 O 0.124 0.490 0.363
# Polymorph energy (0 for the lowest one) in eV/atom: 0.000
# Energy relative to the elements, uncorrected in eV per atom: -2.49
# DFT total energy in eV/cell: -472.0


# RbY2TiBi (PBEsol, optimized geometry)
data_RbY2TiBi
_chemical_formula_sum 'Rb1 Y2 Ti1 Bi1'
_cell_length_a 5.234
_cell_length_b 5.234
_cell_length_c 5.887
_cell_angle_alpha 90.00
_cell_angle_beta 90.00
_cell_angle_gamma 90.00
_symmetry_space_group_name_H-M 'P 4/m m m'
_symmetry_Int_Tables_number 123
_symmetry_space_group_name_Hall '-P 4 2'
loop_
_atom_site_label
_atom_site_type_symbol
_atom_site_fract_x
_atom_site_fract_y
_atom_site_fract_z
Rb1 Rb 0.000 0.000 0.000
Y1 Y 0.000 0.500 0.000
Ti1 Ti 0.500 0.500 0.500
Bi1 Bi 0.000 0.000 0.500
# DFT total energy in eV/cell: -19.5
# ΔE_f in eV per atom: 1.56


# PuUN2 (PBEsol, optimized geometry)
data_PuUN2
_chemical_formula_sum 'Pu3 U3 N6'
_cell_length_a 3.4096
_cell_length_b 3.4096
_cell_length_c 16.5189
_cell_angle_alpha 90.00
_cell_angle_beta 90.00
_cell_angle_gamma 120.00
_symmetry_space_group_name_H-M 'R -3 m'
_symmetry_Int_Tables_number 166
_symmetry_space_group_name_Hall '-R 3 2"'
loop_
_atom_site_label
_atom_site_type_symbol
_atom_site_fract_x
_atom_site_fract_y
_atom_site_fract_z
Pu1 Pu 0.0000 0.0000 0.0000
U1 U 0.0000 0.0000 0.5000
N1 N 0.0000 0.0000 0.2469
# Energy relative to the elements, uncorrected in eV per atom: -1.33
# DFT total energy in eV/cell: -149.0


# Tc2AsSe (PBEsol, optimized geometry)
data_Tc2AsSe
_chemical_formula_sum 'Tc8 As4 Se4'
_cell_length_a 6.103
_cell_length_b 6.103
_cell_length_c 6.103
_cell_angle_alpha 90.00
_cell_angle_beta 90.00
_cell_angle_gamma 90.00
_symmetry_space_group_name_H-M 'F m -3 m'
_symmetry_Int_Tables_number 225
_symmetry_space_group_name_Hall '-F 4 2 3'
loop_
_atom_site_label
_atom_site_type_symbol
_atom_site_fract_x
_atom_site_fract_y
_atom_site_fract_z
Tc1 Tc 0.250 0.250 0.250
As1 As 0.000 0.000 0.000
Se1 Se 0.000 0.000 0.500
# Energy relative to the elements, uncorrected in eV per atom: -0.01
# DFT total energy in eV/cell: -126.2


# V2O5 (PBEsol, optimized geometry)
data_V2O5
_chemical_formula_sum 'V4 O10'
_cell_length_a 3.543
_cell_length_b 11.608
_cell_length_c 4.222
_cell_angle_alpha 90.00
_cell_angle_beta 90.00
_cell_angle_gamma 90.00
_symmetry_space_group_name_H-M 'P m m n'
_symmetry_Int_Tables_number 59
loop_
_symmetry_equiv_pos_as_xyz
'x,y,z'
'-x,-y,-z'
'-x+1/2,-y+1/2,z'
'x+1/2,y+1/2,-z'
'x+1/2,-y,-z'
'-x+1/2,y,z'
'-x,y+1/2,-z'
'x,-y+1/2,z'
loop_
_atom_site_label
_atom_site_type_symbol
_atom_site_fract_x
_atom_site_fract_y
_atom_site_fract_z
V1 V 0.250 0.102 0.109
O1 O 0.250 0.103 0.486
O2 O 0.250 0.250 0.008
O3 O 0.250 0.568 0.996
# Energy relative to the elements, uncorrected in eV per atom: -2.26
# DFT total energy in eV/cell: -122.7


# TlMo4Cl (PBEsol, optimized geometry)
data_TlMo4Cl
_chemical_formula_sum 'Tl4 Mo16 Cl4'
_cell_length_a 7.503
_cell_length_b 7.503
_cell_length_c 7.503
_cell_angle_alpha 90.00
_cell_angle_beta 90.00
_cell_angle_gamma 90.00
_symmetry_space_group_name_H-M 'F -4 3 m'
_symmetry_Int_Tables_number 216
_symmetry_space_group_name_Hall 'F -4 2 3'
loop_
_atom_site_label
_atom_site_type_symbol
_atom_site_fract_x
_atom_site_fract_y
_atom_site_fract_z
Tl1 Tl 0.000 0.000 0.000
Mo1 Mo 0.120 0.120 0.620
Cl1 Cl 0.250 0.250 0.250
# Energy relative to the elements, uncorrected in eV per atom: 0.90
# DFT total energy in eV/cell: -185.2


# Ba2HgPd2 (PBEsol, optimized geometry)
data_Ba2HgPd2
_chemical_formula_sum 'Ba4 Hg2 Pd4'
_cell_length_a 7.865
_cell_length_b 7.865
_cell_length_c 4.401
_cell_angle_alpha 90.00
_cell_angle_beta 90.00
_cell_angle_gamma 90.00
_symmetry_space_group_name_H-M 'P 4/m b m'
_symmetry_Int_Tables_number 127
_symmetry_space_group_name_Hall '-P 4 2ab'
loop_
_atom_site_label
_atom_site_type_symbol
_atom_site_fract_x
_atom_site_fract_y
_atom_site_fract_z
Ba1 Ba 0.178 0.322 0.000
Hg1 Hg 0.000 0.000 0.500
Pd1 Pd 0.123 0.623 0.500
# DFT total energy in eV/cell: -38.2
# ΔE_f in eV per atom: -0.47


# MoRh2 (PBEsol, optimized geometry)
data_MoRh2
_chemical_formula_sum 'Mo1 Rh2'
_cell_length_a 4.2797
_cell_length_b 4.2797
_cell_length_c 2.6818
_cell_angle_alpha 90.00
_cell_angle_beta 90.00
_cell_angle_gamma 120.00
_symmetry_space_group_name_H-M 'P 6/m m m'
_symmetry_Int_Tables_number 191
_symmetry_space_group_name_Hall '-P 6 2'
loop_
_atom_site_label
_atom_site_type_symbol
_atom_site_fract_x
_atom_site_fract_y
_atom_site_fract_z
Mo1 Mo 0.0000 0.0000 0.0000
Rh1 Rh 0.3333 0.6667 0.5000
# DFT total energy in eV/cell: -28.0
# ΔE_f in eV per atom: 0.02


# BaCrPbO2 (PBEsol, optimized geometry)
data_BaCrPbO2
_chemical_formula_sum 'Ba1 Cr1 Pb1 O2'
_cell_length_a 4.655
_cell_length_b 4.655
_cell_length_c 5.054
_cell_angle_alpha 90.00
_cell_angle_beta 90.00
_cell_angle_gamma 90.00
_symmetry_space_group_name_H-M 'P 4/m m m'
_symmetry_Int_Tables_number 123
_symmetry_space_group_name_Hall '-P 4 2'
loop_
_atom_site_label
_atom_site_type_symbol
_atom_site_fract_x
_atom_site_fract_y
_atom_site_fract_z
Ba1 Ba 0.000 0.000 0.000
Cr1 Cr 0.500 0.500 0.000
Pb1 Pb 0.500 0.500 0.500
O1 O 0.000 0.500 0.500
# Energy relative to the elements, uncorrected in eV per atom: -0.12
# DFT total energy in eV/cell: -27.5


# NiPd2RuO (PBEsol, optimized geometry)
data_NiPd2RuO
_chemical_formula_sum 'Ni1 Pd2 Ru1 O1'
_cell_length_a 4.718
_cell_length_b 4.718
_cell_length_c 3.247
_cell_angle_alpha 90.00
_cell_angle_beta 90.00
_cell_angle_gamma 90.00
_symmetry_space_group_name_H-M 'P 4/m m m'
_symmetry_Int_Tables_number 123
_symmetry_space_group_name_Hall '-P 4 2'
loop_
_atom_site_label
_atom_site_type_symbol
_atom_site_fract_x
_atom_site_fract_y
_atom_site_fract_z
Ni1 Ni 0.000 0.000 0.000
Pd1 Pd 0.000 0.500 0.000
Ru1 Ru 0.500 0.500 0.500
O1 O 0.000 0.000 0.500
# Energy relative to the elements, uncorrected in eV per atom: 0.69
# DFT total energy in eV/cell: -30.1


# ZrW2Cl (PBEsol, optimized geometry)
data_ZrW2Cl
_chemical_formula_sum 'Zr2 W4 Cl2'
_cell_length_a 4.394
_cell_length_b 4.394
_cell_length_c 7.017
_cell_angle_alpha 90.00
_cell_angle_beta 90.00
_cell_angle_gamma 90.00
_symmetry_space_group_name_H-M 'I -4 m 2'
_symmetry_Int_Tables_number 119
_symmetry_space_group_name_Hall 'I -4 -2'
loop_
_atom_site_label
_atom_site_type_symbol
_atom_site_fract_x
_atom_site_fract_y
_atom_site_fract_z
Zr1 Zr 0.000 0.000 0.000
W1 W 0.000 0.000 0.500
W2 W 0.000 0.500 0.750
Cl1 Cl 0.000 0.500 0.250
# Polymorph energy (0 for the lowest one) in eV/atom: 0.692
# Energy relative to the elements, uncorrected in eV per atom: 0.77
# DFT total energy in eV/cell: -71.3


# CdSbBr4 (PBEsol, optimized geometry)
data_CdSbBr4
_chemical_formula_sum 'Cd4 Sb4 Br16'
_cell_length_a 8.624
_cell_length_b 8.624
_cell_length_c 8.624
_cell_angle_alpha 90.00
_cell_angle_beta 90.00
_cell_angle_gamma 90.00
_symmetry_space_group_name_H-M 'F -4 3 m'
_symmetry_Int_Tables_number 216
_symmetry_space_group_name_Hall 'F -4 2 3'
loop_
_atom_site_label
_atom_site_type_symbol
_atom_site_fract_x
_atom_site_fract_y
_atom_site_fract_z
Cd1 Cd 0.000 0.000 0.000
Sb1 Sb 0.250 0.250 0.750
Br1 Br 0.125 0.125 0.375
# Energy relative to the elements, uncorrected in eV per atom: 0.53
# DFT total energy in eV/cell: -40.1


# NaFeAs (PBEsol, optimized geometry)
data_NaFeAs
_chemical_formula_sum 'Na4 Fe4 As4'
_cell_length_a 3.801
_cell_length_b 15.799
_cell_length_c 3.855
_cell_angle_alpha 90.00
_cell_angle_beta 90.00
_cell_angle_gamma 90.00
_symmetry_space_group_name_H-M 'C m c m'
_symmetry_Int_Tables_number 63
_symmetry_space_group_name_Hall '-C 2c 2'
loop_
_atom_site_label
_atom_site_type_symbol
_atom_site_fract_x
_atom_site_fract_y
_atom_site_fract_z
Na1 Na 0.000 0.096 0.250
Fe1 Fe 0.000 0.251 0.750
As1 As 0.000 0.331 0.250
# Polymorph energy (0 for the lowest one) in eV/atom: 0.049
# DFT total energy in eV/cell: -64.9
# ΔE_f in eV per atom: -0.25


# Ta2PbCl (PBEsol, optimized geometry)
data_Ta2PbCl
_chemical_formula_sum 'Ta4 Pb2 Cl2'
_cell_length_a 9.226
_cell_length_b 3.231
_cell_length_c 5.541
_cell_angle_alpha 90.00
_cell_angle_beta 102.39
_cell_angle_gamma 90.00
_symmetry_space_group_name_H-M 'C 1 m 1'
_symmetry_Int_Tables_number 8
_symmetry_space_group_name_Hall 'C -2y'
loop_
_atom_site_label
_atom_site_type_symbol
_atom_site_fract_x
_atom_site_fract_y
_atom_site_fract_z
Ta1 Ta 0.000 0.000 0.000
Ta2 Ta 0.223 0.500 0.239
Pb1 Pb 0.487 0.000 0.506
Cl1 Cl 0.263 0.000 0.917
# Polymorph energy (0 for the lowest one) in eV/atom: 0.000
# Energy relative to the elements, uncorrected in eV per atom: 0.36
# DFT total energy in eV/cell: -59.3


# Li2LaSi2 (PBEsol, optimized geometry)
data_Li2LaSi2
_chemical_formula_sum 'Li4 La2 Si4'
_cell_length_a 4.191
_cell_length_b 4.191
_cell_length_c 10.946
_cell_angle_alpha 90.00
_cell_angle_beta 90.00
_cell_angle_gamma 90.00
_symmetry_space_group_name_H-M 'I 4/m m m'
_symmetry_Int_Tables_number 139
_symmetry_space_group_name_Hall '-I 4 2'
loop_
_atom_site_label
_atom_site_type_symbol
_atom_site_fract_x
_atom_site_fract_y
_atom_site_fract_z
Li1 Li 0.000 0.500 0.250
La1 La 0.000 0.000 0.000
Si1 Si 0.000 0.000 0.394
# Polymorph energy (0 for the lowest one) in eV/atom: 0.000
# Energy relative to the elements, uncorrected in eV per atom: -0.51
# DFT total energy in eV/cell: -46.6


# Hf2H2Rh (PBEsol, optimized geometry)
data_Hf2H2Rh
_chemical_formula_sum 'Hf4 H4 Rh2'
_cell_length_a 4.627
_cell_length_b 4.627
_cell_length_c 6.104
_cell_angle_alpha 90.00
_cell_angle_beta 90.00
_cell_angle_gamma 90.00
_symmetry_space_group_name_H-M 'I 4/m m m'
_symmetry_Int_Tables_number 139
_symmetry_space_group_name_Hall '-I 4 2'
loop_
_atom_site_label
_atom_site_type_symbol
_atom_site_fract_x
_atom_site_fract_y
_atom_site_fract_z
Hf1 Hf 0.000 0.500 0.250
H1 H 0.000 0.000 0.218
Rh1 Rh 0.000 0.000 0.500
# DFT total energy in eV/cell: -74.7


# YTa2Sb (PBEsol, optimized geometry)
data_YTa2Sb
_chemical_formula_sum 'Y1 Ta2 Sb1'
_cell_length_a 3.502
_cell_length_b 3.502
_cell_length_c 6.901
_cell_angle_alpha 90.00
_cell_angle_beta 90.00
_cell_angle_gamma 90.00
_symmetry_space_group_name_H-M 'P 4 m m'
_symmetry_Int_Tables_number 99
_symmetry_space_group_name_Hall 'P 4 -2'
loop_
_atom_site_label
_atom_site_type_symbol
_atom_site_fract_x
_atom_site_fract_y
_atom_site_fract_z
Y1 Y 0.000 0.000 0.000
Ta1 Ta 0.000 0.000 0.523
Ta2 Ta 0.500 0.500 0.722
Sb1 Sb 0.500 0.500 0.296
# Energy relative to the elements, uncorrected in eV per atom: -0.10
# DFT total energy in eV/cell: -36.9


# Te2HPtI (PBEsol, optimized geometry)
data_Te2HPtI
_chemical_formula_sum 'Te2 H1 Pt1 I1'
_cell_length_a 5.232
_cell_length_b 5.232
_cell_length_c 5.615
_cell_angle_alpha 90.00
_cell_angle_beta 90.00
_cell_angle_gamma 90.00
_symmetry_space_group_name_H-M 'P 4/m m m'
_symmetry_Int_Tables_number 123
_symmetry_space_group_name_Hall '-P 4 2'
loop_
_atom_site_label
_atom_site_type_symbol
_atom_site_fract_x
_atom_site_fract_y
_atom_site_fract_z
Te1 Te 0.000 0.500 0.000
H1 H 0.000 0.000 0.500
Pt1 Pt 0.500 0.500 0.000
I1 I 0.500 0.500 0.500
# DFT total energy in eV/cell: -15.2


# CaCd2Sn2 (PBEsol, optimized geometry)
data_CaCd2Sn2
_chemical_formula_sum 'Ca2 Cd4 Sn4'
_cell_length_a 4.434
_cell_length_b 4.434
_cell_length_c 13.339
_cell_angle_alpha 90.00
_cell_angle_beta 90.00
_cell_angle_gamma 90.00
_symmetry_space_group_name_H-M 'I 4/m m m'
_symmetry_Int_Tables_number 139
_symmetry_space_group_name_Hall '-I 4 2'
loop_
_atom_site_label
_atom_site_type_symbol
_atom_site_fract_x
_atom_site_fract_y
_atom_site_fract_z
Ca1 Ca 0.000 0.000 0.000
Cd1 Cd 0.000 0.500 0.250
Sn1 Sn 0.000 0.000 0.393
# DFT total energy in eV/cell: -28.6
# ΔE_f in eV per atom: -0.25


# ScZnCo (PBEsol, optimized geometry)
data_ScZnCo
_chemical_formula_sum 'Sc4 Zn4 Co4'
_cell_length_a 5.843
_cell_length_b 5.843
_cell_length_c 5.843
_cell_angle_alpha 90.00
_cell_angle_beta 90.00
_cell_angle_gamma 90.00
_symmetry_space_group_name_H-M 'F -4 3 m'
_symmetry_Int_Tables_number 216
_symmetry_space_group_name_Hall 'F -4 2 3'
loop_
_atom_site_label
_atom_site_type_symbol
_atom_site_fract_x
_atom_site_fract_y
_atom_site_fract_z
Sc1 Sc 0.000 0.000 0.000
Zn1 Zn 0.250 0.250 0.750
Co1 Co 0.000 0.000 0.500
# DFT total energy in eV/cell: -61.1
# ΔE_f in eV per atom: 0.21